[1]
Computed, not measured: a relaxed Ac2LaBr crystal at the PBE level of DFT.

Cell: 11.5114 11.5114 11.5114 Å, 19.96 19.96 19.96°
Closest atoms and distances in Å follow each position.
Element x y z (fractional)
Ac 0.2423 0.2423 0.2423  3 Br 3.44, 3 La 3.85
Ac 0.7577 0.7577 0.7577  3 Br 3.44, 3 La 3.85
La 0.0000 0.0000 0.0000  6 Ac 3.85, 6 La 3.99
Br 0.5000 0.5000 0.5000  6 Ac 3.44

Computed properties:
* formation energy from raw total energies: -0.567 eV/atom
* space group: R-3m
* total moment: 0.00 μB/f.u.
* E: -4.271 eV per atom

---

[2]
Computed, not measured: a relaxed NbZn4Pd15 crystal at the PBE level of DFT.

Cell: 3.9383 3.9383 19.5148 Å, 90.00 90.00 90.00°
Closest atoms and distances in Å follow each position.
Element x y z (fractional)
Nb 0.0000 0.0000 0.0000  12 Pd 2.77-2.78
Zn 0.0000 0.0000 0.2039  12 Pd 2.74-2.83
Zn 0.0000 0.0000 0.4001  12 Pd 2.75-2.78
Zn 0.0000 0.0000 0.5999  12 Pd 2.75-2.78
Zn 0.0000 0.0000 0.7961  12 Pd 2.74-2.83
Pd 0.0000 0.5000 0.1000  8 Pd 2.77-2.78, 2 Nb 2.77, 2 Zn 2.83
Pd 0.0000 0.5000 0.3015  4 Zn 2.74-2.75, 8 Pd 2.77-2.78
Pd 0.0000 0.5000 0.5000  8 Pd 2.75-2.78, 4 Zn 2.77
Pd 0.0000 0.5000 0.6985  4 Zn 2.74-2.75, 8 Pd 2.77-2.78
Pd 0.0000 0.5000 0.9000  2 Nb 2.77, 8 Pd 2.77-2.78, 2 Zn 2.83
Pd 0.5000 0.0000 0.1000  8 Pd 2.77-2.78, 2 Nb 2.77, 2 Zn 2.83
Pd 0.5000 0.0000 0.3015  4 Zn 2.74-2.75, 8 Pd 2.77-2.78
Pd 0.5000 0.0000 0.5000  8 Pd 2.75-2.78, 4 Zn 2.77
Pd 0.5000 0.0000 0.6985  4 Zn 2.74-2.75, 8 Pd 2.77-2.78
Pd 0.5000 0.0000 0.9000  2 Nb 2.77, 8 Pd 2.77-2.78, 2 Zn 2.83
Pd 0.5000 0.5000 0.0000  8 Pd 2.77, 4 Nb 2.78
Pd 0.5000 0.5000 0.2008  8 Pd 2.78, 4 Zn 2.79
Pd 0.5000 0.5000 0.4013  8 Pd 2.75-2.77, 4 Zn 2.78
Pd 0.5000 0.5000 0.5987  8 Pd 2.75-2.77, 4 Zn 2.78
Pd 0.5000 0.5000 0.7992  8 Pd 2.78, 4 Zn 2.79

Computed properties:
* space group: P4/mmm
* total moment: 0.00 μB/f.u.
* energy of formation: -348 meV/atom
* E: -5.001 eV per atom

---

[3]
Computed, not measured: a relaxed TbUFe3 crystal at the PBE level of DFT.

Cell: 4.4368 4.4368 4.4368 Å, 88.28 88.28 88.28°
Closest atoms and distances in Å follow each position.
Element x y z (fractional)
Tb 0.0000 0.0000 0.0000  9 Fe 2.93-3.11, 1 U 3.02
U 0.6186 0.6186 0.6186  3 Fe 2.12
Fe 0.0466 0.4583 0.4583  1 U 2.12
Fe 0.4583 0.0466 0.4583  1 U 2.12
Fe 0.4583 0.4583 0.0466  1 U 2.12

Computed properties:
* space group: R3m
* total moment: 0.81 μB/f.u.
* energy of formation: 178 meV/atom
* E: -8.083 eV per atom

---

[4]
Computed, not measured: a relaxed HF crystal at the PBE level of DFT.

Cell: 3.2176 3.2185 4.0535 Å, 88.11 88.09 64.86°
Closest atoms and distances in Å follow each position.
Element x y z (fractional)
H 0.0000 0.0000 0.0000  1 F 1.01
H 0.0584 0.9409 0.5000  1 F 1.01
F 0.2101 0.7876 0.2860  1 H 1.01
F 0.8484 0.1534 0.7860  1 H 1.01

Computed properties:
* space group: P1
* total moment: 0.00 μB/f.u.
* E: -4.210 eV per atom